(1)
12
Lattice="5.8712 0.9183 0.3914 3.6668 6.2839 1.7328 -1.0749 -0.3178 7.2405" Properties=species:S:1:pos:R:3 comment="PBE-GGA Li7MgTl4, optimized geometry" formation_enthalpy_0k_ev_per_atom=-0.179 crystal_system=triclinic pbc="T T T"
Tl 4.9778 4.3956 3.5762
Tl 1.6875 1.2514 2.6352
Tl 6.7757 5.6329 6.7294
Tl 3.4853 2.4887 5.7884
Li 4.5482 1.5599 3.1503
Li 3.3143 3.2850 1.0897
Li 5.1489 3.5993 8.2749
Li 3.9150 5.3244 6.2143
Li 7.8779 4.9947 4.0442
Li 0.5853 1.8897 5.3204
Li 2.9356 0.4591 0.1957
Mg 0.0000 0.0000 0.0000

=====

(2)
19
Lattice="7.7774 0.5738 0.6874 -0.6119 7.7745 0.6874 -0.6119 -0.7129 7.7722" Properties=species:S:1:pos:R:3 comment="PBE-GGA Li6MgTl12, optimized geometry" formation_enthalpy_0k_ev_per_atom=-0.091 crystal_system=trigonal pbc="T T T"
Li 1.6618 0.4979 5.9224
Li 6.3134 2.1154 6.3983
Li 4.8918 7.1375 3.2247
Li 1.1338 5.1229 7.5989
Li 0.2402 5.5200 2.7488
Li 5.4198 2.5125 1.5482
Mg 0.0000 0.0000 0.0000
Tl 0.9402 3.2570 4.8408
Tl 5.6134 4.3784 4.3063
Tl 6.7873 6.7308 6.2109
Tl 3.8225 7.4529 7.7323
Tl 3.4768 3.1269 6.8818
Tl -0.2336 0.9046 2.9361
Tl 2.5636 6.0722 5.0774
Tl 2.7311 0.1825 1.4147
Tl 0.9296 2.9056 0.4324
Tl 3.9900 1.5632 4.0696
Tl 3.0769 4.5086 2.2653
Tl 5.6240 4.7298 8.7147

=====

(3)
8
Lattice="-1.8853 0.6672 -4.4620 -4.8936 -0.9173 1.9305 -0.6364 5.7805 1.1333" Properties=species:S:1:pos:R:3 comment="PBE-GGA Li6MgTl, optimized geometry" formation_enthalpy_0k_ev_per_atom=-0.116 crystal_system=orthorhombic pbc="T T T"
Li -0.9599 1.3285 0.6042
Li -2.5740 0.0278 -1.5874
Li -5.5453 3.8243 0.2357
Li -5.2425 1.0739 -0.3035
Li -1.2709 4.1532 1.1580
Li -3.4567 2.3020 1.8047
Mg -3.2770 -0.6142 1.2928
Tl -2.9283 2.9113 -1.0066

=====

(4)
10
Lattice="3.3151 0.0000 0.0000 0.0000 4.9213 0.2729 0.0000 -0.7593 13.6856" Properties=species:S:1:pos:R:3 comment="PBE-GGA Li2MgTl2, optimized geometry" formation_enthalpy_0k_ev_per_atom=-0.128 crystal_system=orthorhombic pbc="T T T"
Li 2.4863 3.6647 0.6736
Li 0.8288 3.1971 9.1111
Li 2.4863 0.9649 4.8474
Li 0.8288 0.4972 13.2849
Mg 2.4863 0.6526 10.4853
Mg 0.8288 3.5094 3.4732
Tl 2.4863 1.1197 2.0569
Tl 0.8288 0.8093 7.6581
Tl 2.4863 3.3526 6.3004
Tl 0.8288 3.0422 11.9016

=====

(5)
12
Lattice="5.1734 0.0000 0.0000 0.0000 9.4733 0.0000 0.0000 0.0000 5.3554" Properties=species:S:1:pos:R:3 comment="PBE-GGA LiMgTl, optimized geometry" formation_enthalpy_0k_ev_per_atom=-0.139 crystal_system=orthorhombic pbc="T T T"
Tl 2.5867 0.0000 0.8883
Tl 2.5867 4.7367 3.5660
Tl 0.0000 0.0000 3.0634
Tl 0.0000 4.7367 0.3857
Mg 0.0000 1.5904 0.3623
Mg 0.0000 3.1463 3.0400
Mg 0.0000 6.3270 3.0400
Mg 0.0000 7.8829 0.3623
Li 2.5867 1.5622 3.6334
Li 2.5867 7.9111 3.6334
Li 2.5867 3.1745 0.9557
Li 2.5867 6.2988 0.9557

=====

(6)
4
Lattice="-1.5393 -2.7192 0.6215 1.1609 1.0593 2.7712 -8.1603 4.9669 1.5199" Properties=species:S:1:pos:R:3 comment="PBE-GGA LiMg2Tl, optimized geometry" formation_enthalpy_0k_ev_per_atom=-0.006 crystal_system=orthorhombic pbc="T T T"
Li -6.3094 2.8952 2.8363
Tl -2.2293 0.4118 2.0763
Mg -4.2141 2.5650 0.7849
Mg -8.0263 4.8853 1.4950

=====

(7)
4
Lattice="-4.7602 0.7579 1.6656 -3.2540 2.7911 -2.7622 -3.9179 -2.2498 -2.3658" Properties=species:S:1:pos:R:3 comment="PBE-GGA LiMgTl2, optimized geometry" formation_enthalpy_0k_ev_per_atom=-0.141 crystal_system=cubic pbc="T T T"
Tl -2.9830 0.3248 -0.8656
Tl -8.9491 0.9745 -2.5968
Li 0.0000 0.0000 0.0000
Mg -5.9661 0.6496 -1.7312

=====

(8)
8
Lattice="-7.4182 -2.8310 -3.0108 -5.9674 -4.8106 4.3352 -6.0486 0.5977 1.7254" Properties=species:S:1:pos:R:3 comment="PBE-GGA LiMgTl6, optimized geometry" formation_enthalpy_0k_ev_per_atom=0.003 crystal_system=triclinic pbc="T T T"
Mg -9.7171 -3.5220 1.5249
Tl -7.1603 -2.5271 -0.0921
Tl -4.5646 -2.0988 2.3404
Tl -12.2740 -4.5169 3.1418
Tl -16.5520 -6.4406 3.4597
Tl -14.8697 -4.9452 0.7094
Tl -2.8822 -0.6034 -0.4100
Li 0.0000 0.0000 0.0000

=====

(9)
13
Lattice="6.2036 -0.0009 0.0000 -3.1019 5.3725 0.0000 0.0000 0.0000 9.9236" Properties=species:S:1:pos:R:3 comment="PBE-GGA LiMg6Tl6, optimized geometry" formation_enthalpy_0k_ev_per_atom=-0.023 crystal_system=hexagonal pbc="T T T"
Tl 0.0002 3.5812 4.9618
Tl 0.0000 0.0000 3.3100
Tl 0.0000 3.5813 0.0000
Tl 0.0000 0.0000 6.6135
Tl 3.1018 1.7902 0.0000
Tl 3.1015 1.7903 4.9618
Mg 1.5509 2.6858 7.4948
Mg 3.1018 -0.0005 7.4946
Mg 3.1018 -0.0005 2.4290
Mg 1.5509 2.6858 2.4288
Mg -1.5509 2.6862 2.4290
Mg -1.5509 2.6862 7.4946
Li 0.0000 0.0000 0.0000

=====

(10)
14
Lattice="-5.6855 3.4951 3.1981 -4.7258 -4.5345 -3.4458 0.3322 -4.6895 5.7155" Properties=species:S:1:pos:R:3 comment="PBE-GGA Li3MgTl3, optimized geometry" formation_enthalpy_0k_ev_per_atom=0.318 crystal_system=cubic pbc="T T T"
Mg -5.0396 -2.8644 2.7339
Mg 0.0000 0.0000 0.0000
Tl -4.0242 0.6139 0.7376
Tl -1.2553 -1.4710 3.6573
Tl -6.3871 -1.6533 -0.9853
Tl -2.1138 -5.7844 2.5637
Tl -2.2799 -3.4396 -0.2940
Tl -4.0981 0.2766 5.2563
Li -2.5936 -1.7696 5.8857
Li -2.7597 0.5752 3.0279
Li -6.6270 0.3541 0.6757
Li -1.0154 -3.4784 1.9963
Li -3.7843 -1.3935 -0.9234
Li -3.3783 -5.7456 0.2734

=====

| no. | calculated volume (Å³/f.u.) |
| --- | --- |
| 1 | 246 |
| 2 | 480 |
| 3 | 155 |
| 4 | 112 |
| 5 | 66 |
| 6 | 94 |
| 7 | 94 |
| 8 | 224 |
| 9 | 331 |
| 10 | 203 |